Material: Tl2CuRu
Method: DFT, PBE
State: optimized geometry

Values from the calculation:
Its energy of formation from the pure elements is 0.566 eV/atom. The relative energy among the computed polymorphs comes out at 14.5 kJ per mole of atoms.

a b c (Å): 6.6652 6.6652 6.6652
angles (deg): 90.00 90.00 90.00
Last column: nearest neighbours and their distance in Å.
Space group Fm-3m (No. 225)
Symmetry-distinct sites (fractional):
Tl1 0.2500 0.2500 0.2500 (multiplicity 8)  4 Ru 2.89, 4 Cu 2.89
Cu1 0.0000 0.0000 0.0000 (multiplicity 4)  8 Tl 2.89
Ru1 0.0000 0.0000 0.5000 (multiplicity 4)  8 Tl 2.89